# 1
La5Sm3Dy: optimized geometry, PBE-GGA.

It has space group C2/c (No. 15), with a = 20.5861 Å, b = 6.4299 Å, c = 11.8490 Å, α = 90.00°, β = 122.91° and γ = 90.00°. The asymmetric unit holds La at (0.0000, 0.0832, 0.2500), La at (0.1396, 0.1807, 0.6603), La at (0.1790, 0.3139, 0.3350), Sm at (0.0000, 0.5000, 0.0000), Sm at (0.1744, 0.2660, 0.0221) and Dy at (0.0000, 0.4015, 0.7500).

The value obtained for the offset from the most stable computed form is 0.0 meV per atom. As for the total magnetic moment: 0.0 μB per formula unit. For the formation energy, the calculation gives 0.235 eV/atom.


# 2
La12Sm6Dy: optimized geometry, PBE-GGA.

It has space group R-3 (No. 148, hexagonal axes), with a = 15.0670 Å, b = 15.0670 Å, c = 10.5223 Å, α = 90.00°, β = 90.00° and γ = 120.00°. The asymmetric unit holds La at (0.0452, 0.7884, 0.0721), La at (0.0650, 0.8379, 0.4207), Sm at (0.0473, 0.8469, 0.7587) and Dy at (0.0000, 0.0000, 0.0000).

As for the total magnetic moment: 0.0 μB per formula unit. For the formation energy, the calculation gives 0.204 eV/atom.